# 1
{"formula": "Hf2VCu", "functional": "PBE", "state": "relaxed", "lattice": [[6.545, 0.000, 0.000], [0.000, 6.545, 0.000], [0.000, 0.000, 6.545]], "species": ["Hf", "Hf", "Hf", "Hf", "Hf", "Hf", "Hf", "Hf", "V", "V", "V", "V", "Cu", "Cu", "Cu", "Cu"], "frac_coords": [[0.250, 0.250, 0.250], [0.250, 0.250, 0.750], [0.250, 0.750, 0.250], [0.250, 0.750, 0.750], [0.750, 0.250, 0.250], [0.750, 0.250, 0.750], [0.750, 0.750, 0.250], [0.750, 0.750, 0.750], [0.000, 0.000, 0.000], [0.000, 0.500, 0.500], [0.500, 0.000, 0.500], [0.500, 0.500, 0.000], [0.000, 0.000, 0.500], [0.000, 0.500, 0.000], [0.500, 0.000, 0.000], [0.500, 0.500, 0.500]], "relative_energy_ev_per_atom": 0.0678, "total_magnetization_mub_per_fu": 1.8, "density_g_cm3": 11.168}

=====

# 2
{"formula": "CoNiRh2", "functional": "PBE", "state": "relaxed", "lattice": [[8.746, 0.000, 0.000], [0.000, 2.652, 0.000], [-0.846, 0.000, 4.421]], "species": ["Co", "Co", "Ni", "Ni", "Rh", "Rh", "Rh", "Rh"], "frac_coords": [[0.000, 0.000, 0.000], [0.500, 0.500, 0.000], [0.255, 0.000, 0.757], [0.755, 0.500, 0.757], [0.003, 0.500, 0.511], [0.250, 0.500, 0.245], [0.503, 0.000, 0.511], [0.750, 0.000, 0.245]], "relative_energy_ev_per_atom": 0.0088, "total_magnetization_mub_per_fu": 3.4, "density_g_cm3": 10.477}

=====

# 3
{"formula": "Ru2Pt2W", "functional": "PBE", "state": "relaxed", "lattice": [[3.511, 0.000, 0.000], [0.000, 3.511, 0.000], [0.000, 0.000, 13.259]], "species": ["Ru", "Ru", "Ru", "Ru", "Pt", "Pt", "Pt", "Pt", "W", "W"], "frac_coords": [[0.000, 0.500, 0.250], [0.000, 0.500, 0.750], [0.500, 0.000, 0.250], [0.500, 0.000, 0.750], [0.000, 0.000, 0.098], [0.000, 0.000, 0.902], [0.500, 0.500, 0.402], [0.500, 0.500, 0.598], [0.000, 0.000, 0.500], [0.500, 0.500, 0.000]], "relative_energy_ev_per_atom": 0.2024, "total_magnetization_mub_per_fu": 0.6, "density_g_cm3": 15.767}

=====

# 4
{"formula": "SiTc2H", "functional": "PBE", "state": "relaxed", "lattice": [[2.863, 0.000, 0.000], [-1.432, 2.480, 0.000], [0.000, 0.000, 18.545]], "species": ["Si", "Si", "Si", "Tc", "Tc", "Tc", "Tc", "Tc", "Tc", "H", "H", "H"], "frac_coords": [[0.000, 0.000, 0.000], [0.333, 0.667, 0.667], [0.667, 0.333, 0.333], [0.000, 0.000, 0.227], [0.000, 0.000, 0.773], [0.333, 0.667, 0.439], [0.333, 0.667, 0.894], [0.667, 0.333, 0.106], [0.667, 0.333, 0.561], [0.000, 0.000, 0.500], [0.333, 0.667, 0.167], [0.667, 0.333, 0.833]], "relative_energy_ev_per_atom": 0.0000, "total_magnetization_mub_per_fu": 0.0, "density_g_cm3": 8.516}

=====

# 5
{"formula": "RbBi3Pt2", "functional": "PBE", "state": "relaxed", "lattice": [[4.309, 2.488, 6.293], [-4.309, 2.488, 6.293], [0.000, -4.976, 6.293]], "species": ["Rb", "Rb", "Bi", "Bi", "Bi", "Bi", "Bi", "Bi", "Pt", "Pt", "Pt", "Pt"], "frac_coords": [[0.215, 0.215, 0.215], [0.785, 0.785, 0.785], [0.236, 0.236, 0.721], [0.236, 0.721, 0.236], [0.279, 0.764, 0.764], [0.721, 0.236, 0.236], [0.764, 0.279, 0.764], [0.764, 0.764, 0.279], [0.000, 0.000, 0.000], [0.000, 0.500, 0.500], [0.500, 0.000, 0.500], [0.500, 0.500, 0.000]], "total_magnetization_mub_per_fu": 0.0, "dft_energy_ev_per_atom": -4.343, "density_g_cm3": 9.044}

=====

# 6
{"formula": "Ac5HRhAu2", "functional": "PBE", "state": "relaxed", "lattice": [[2.126, -9.487, 0.000], [2.126, 9.487, 0.000], [0.000, 0.000, 13.777]], "species": ["Ac", "Ac", "Ac", "Ac", "Ac", "Ac", "Ac", "Ac", "Ac", "Ac", "H", "H", "Rh", "Rh", "Au", "Au", "Au", "Au"], "frac_coords": [[0.001, 0.999, 0.500], [0.141, 0.859, 0.756], [0.198, 0.802, 0.110], [0.201, 0.799, 0.408], [0.453, 0.547, 0.743], [0.547, 0.453, 0.243], [0.799, 0.201, 0.908], [0.802, 0.198, 0.610], [0.859, 0.141, 0.256], [0.999, 0.001, 0.000], [0.067, 0.933, 0.151], [0.933, 0.067, 0.651], [0.296, 0.704, 0.759], [0.704, 0.296, 0.259], [0.377, 0.623, 0.072], [0.378, 0.622, 0.440], [0.622, 0.378, 0.940], [0.623, 0.377, 0.572]], "total_magnetization_mub_per_fu": 0.3, "dft_energy_ev_per_atom": -4.821, "density_g_cm3": 9.757}

=====

Copy entry 1 word for word.
{"formula": "Hf2VCu", "functional": "PBE", "state": "relaxed", "lattice": [[6.545, 0.000, 0.000], [0.000, 6.545, 0.000], [0.000, 0.000, 6.545]], "species": ["Hf", "Hf", "Hf", "Hf", "Hf", "Hf", "Hf", "Hf", "V", "V", "V", "V", "Cu", "Cu", "Cu", "Cu"], "frac_coords": [[0.250, 0.250, 0.250], [0.250, 0.250, 0.750], [0.250, 0.750, 0.250], [0.250, 0.750, 0.750], [0.750, 0.250, 0.250], [0.750, 0.250, 0.750], [0.750, 0.750, 0.250], [0.750, 0.750, 0.750], [0.000, 0.000, 0.000], [0.000, 0.500, 0.500], [0.500, 0.000, 0.500], [0.500, 0.500, 0.000], [0.000, 0.000, 0.500], [0.000, 0.500, 0.000], [0.500, 0.000, 0.000], [0.500, 0.500, 0.500]], "relative_energy_ev_per_atom": 0.0678, "total_magnetization_mub_per_fu": 1.8, "density_g_cm3": 11.168}